Record 1
# Ac8La3Tm, relaxed, DFT GGA-PBE
data_Ac8La3Tm
_chemical_formula_sum 'Ac8 La3 Tm1'
_space_group_name_H-M_alt 'P 1'
_space_group_IT_number 1
_space_group_name_Hall 'P 1'
_cell_length_a 9.243
_cell_length_b 9.243
_cell_length_c 9.243
_cell_angle_alpha 118.90
_cell_angle_beta 118.90
_cell_angle_gamma 91.91
loop_
_atom_site_label
_atom_site_type_symbol
_atom_site_fract_x
_atom_site_fract_y
_atom_site_fract_z
Ac1 Ac 0.112 0.112 0.740
Ac2 Ac 0.233 0.233 0.491
Ac3 Ac 0.258 0.767 0.000
Ac4 Ac 0.372 0.372 0.260
Ac5 Ac 0.628 0.888 0.000
Ac6 Ac 0.742 0.742 0.509
Ac7 Ac 0.767 0.258 0.000
Ac8 Ac 0.888 0.628 0.000
La1 La 0.250 0.750 0.500
La2 La 0.500 0.500 0.000
La3 La 0.750 0.250 0.500
Tm1 Tm 0.000 0.000 0.000
# - final energy (Ry per atom) = -0.278
# - energy relative to the elements (eV/atom) = 0.56
# - DOS(E_F) (states/eV/f.u.) = 21.08

Record 2
# Ac3La2Tm2, relaxed, DFT GGA-PBE
data_Ac3La2Tm2
_chemical_formula_sum 'Ac6 La4 Tm4'
_space_group_name_H-M_alt 'P 1'
_space_group_IT_number 1
_space_group_name_Hall 'P 1'
_cell_length_a 5.679
_cell_length_b 25.284
_cell_length_c 3.742
_cell_angle_alpha 90.00
_cell_angle_beta 90.00
_cell_angle_gamma 90.00
loop_
_atom_site_label
_atom_site_type_symbol
_atom_site_fract_x
_atom_site_fract_y
_atom_site_fract_z
Ac1 Ac 0.000 0.000 0.000
Ac2 Ac 0.000 0.156 0.000
Ac3 Ac 0.000 0.844 0.000
Ac4 Ac 0.500 0.344 0.000
Ac5 Ac 0.500 0.500 0.000
Ac6 Ac 0.500 0.656 0.000
La1 La 0.000 0.426 0.500
La2 La 0.000 0.574 0.500
La3 La 0.500 0.074 0.500
La4 La 0.500 0.926 0.500
Tm1 Tm 0.000 0.285 0.500
Tm2 Tm 0.000 0.715 0.500
Tm3 Tm 0.500 0.215 0.500
Tm4 Tm 0.500 0.785 0.500
# - final energy (Ry per atom) = -0.323
# - energy relative to the elements (eV/atom) = 0.05
# - DOS(E_F) (states/eV/f.u.) = 11.50

Record 3
# Ac4LaTm, relaxed, DFT GGA-PBE
data_Ac4LaTm
_chemical_formula_sum 'Ac4 La1 Tm1'
_space_group_name_H-M_alt 'P 1'
_space_group_IT_number 1
_space_group_name_Hall 'P 1'
_cell_length_a 7.168
_cell_length_b 7.168
_cell_length_c 7.168
_cell_angle_alpha 60.00
_cell_angle_beta 60.00
_cell_angle_gamma 60.00
loop_
_atom_site_label
_atom_site_type_symbol
_atom_site_fract_x
_atom_site_fract_y
_atom_site_fract_z
Ac1 Ac 0.124 0.124 0.124
Ac2 Ac 0.124 0.124 0.628
Ac3 Ac 0.124 0.628 0.124
Ac4 Ac 0.628 0.124 0.124
La1 La 0.500 0.500 0.500
Tm1 Tm 0.750 0.750 0.750
# - final energy (Ry per atom) = -0.291
# - energy relative to the elements (eV/atom) = 0.34
# - relative energy among the computed polymorphs (eV per atom) = 0.200
# - DOS(E_F) (states/eV/f.u.) = 9.17

Record 4
# AcLa2Tm, relaxed, DFT GGA-PBE
data_AcLa2Tm
_chemical_formula_sum 'Ac3 La6 Tm3'
_space_group_name_H-M_alt 'P 1'
_space_group_IT_number 1
_space_group_name_Hall 'P 1'
_cell_length_a 3.769
_cell_length_b 3.769
_cell_length_c 36.279
_cell_angle_alpha 90.00
_cell_angle_beta 90.00
_cell_angle_gamma 120.00
loop_
_atom_site_label
_atom_site_type_symbol
_atom_site_fract_x
_atom_site_fract_y
_atom_site_fract_z
Ac1 Ac 0.000 0.000 0.000
Ac2 Ac 0.333 0.667 0.667
Ac3 Ac 0.667 0.333 0.333
La1 La 0.000 0.000 0.245
La2 La 0.000 0.000 0.755
La3 La 0.333 0.667 0.421
La4 La 0.333 0.667 0.912
La5 La 0.667 0.333 0.088
La6 La 0.667 0.333 0.579
Tm1 Tm 0.000 0.000 0.500
Tm2 Tm 0.333 0.667 0.167
Tm3 Tm 0.667 0.333 0.833
# - final energy (Ry per atom) = -0.335
# - energy relative to the elements (eV/atom) = 0.05
# - relative energy among the computed polymorphs (eV per atom) = 0.024
# - DOS(E_F) (states/eV/f.u.) = 5.81

Record 5
# Ac3LaTm2, relaxed, DFT GGA-PBE
data_Ac3LaTm2
_chemical_formula_sum 'Ac6 La2 Tm4'
_space_group_name_H-M_alt 'P 1'
_space_group_IT_number 1
_space_group_name_Hall 'P 1'
_cell_length_a 7.076
_cell_length_b 7.076
_cell_length_c 11.914
_cell_angle_alpha 114.90
_cell_angle_beta 114.90
_cell_angle_gamma 63.41
loop_
_atom_site_label
_atom_site_type_symbol
_atom_site_fract_x
_atom_site_fract_y
_atom_site_fract_z
Ac1 Ac 0.245 0.755 0.750
Ac2 Ac 0.323 0.332 0.914
Ac3 Ac 0.332 0.323 0.414
Ac4 Ac 0.668 0.677 0.586
Ac5 Ac 0.677 0.668 0.086
Ac6 Ac 0.755 0.245 0.250
La1 La 0.246 0.754 0.250
La2 La 0.754 0.246 0.750
Tm1 Tm 0.154 0.159 0.578
Tm2 Tm 0.159 0.154 0.078
Tm3 Tm 0.841 0.846 0.922
Tm4 Tm 0.846 0.841 0.422
# - final energy (Ry per atom) = -0.313
# - energy relative to the elements (eV/atom) = 0.10
# - DOS(E_F) (states/eV/f.u.) = 9.56

Record 6
# AcLa2Tm4, relaxed, DFT GGA-PBE
data_AcLa2Tm4
_chemical_formula_sum 'Ac2 La4 Tm8'
_space_group_name_H-M_alt 'P 1'
_space_group_IT_number 1
_space_group_name_Hall 'P 1'
_cell_length_a 8.630
_cell_length_b 8.630
_cell_length_c 6.668
_cell_angle_alpha 90.00
_cell_angle_beta 90.00
_cell_angle_gamma 90.00
loop_
_atom_site_label
_atom_site_type_symbol
_atom_site_fract_x
_atom_site_fract_y
_atom_site_fract_z
Ac1 Ac 0.000 0.000 0.000
Ac2 Ac 0.500 0.500 0.500
La1 La 0.000 0.500 0.250
La2 La 0.000 0.500 0.750
La3 La 0.500 0.000 0.250
La4 La 0.500 0.000 0.750
Tm1 Tm 0.194 0.194 0.500
Tm2 Tm 0.194 0.806 0.500
Tm3 Tm 0.306 0.306 0.000
Tm4 Tm 0.306 0.694 0.000
Tm5 Tm 0.694 0.306 0.000
Tm6 Tm 0.694 0.694 0.000
Tm7 Tm 0.806 0.194 0.500
Tm8 Tm 0.806 0.806 0.500
# - final energy (Ry per atom) = -0.318
# - energy relative to the elements (eV/atom) = 0.22
# - DOS(E_F) (states/eV/f.u.) = 12.02

- Look up the energy relative to the elements of the third one.
  0.34 eV/atom

- Look up the DOS(E_F) of the sixth one.
  12.02 states/eV/f.u.

- Look up the DOS(E_F) of the sixth one.
  12.02 states/eV/f.u.